MnCuPtO6 | PBE+U | relaxed

For the magnetization, the calculation gives 2.36 μB/cell. The calculated volume comes out at 190 Å³/cell. The total energy is -5.87 eV per atom.

Cell lengths 5.0364, 5.0364, 8.6355 Å; angles 90.00, 90.00, 120.00 degrees
Closest atoms and distances in Å follow each position.
Space group P-31c (No. 163)
Unique sites:
Mn 0.3333 0.6667 0.2500 (multiplicity 2)  6 O 1.93
Cu 0.0000 0.0000 0.0000 (multiplicity 2)  6 O 2.07
Pt 0.3333 0.6667 0.7500 (multiplicity 2)  6 O 1.99
O 0.0092 0.3551 0.1261 (multiplicity 12)  1 Mn 1.93, 1 Pt 1.99, 1 Cu 2.07